# 1
Below is TlCoAg2 after structural relaxation, with properties calculated at the PBE-GGA level.

Values from the calculation:
Formation enthalpy at 0 K = 0.506 eV/atom
Total DFT energy (no corrections) = -3.288 eV/atom
DOS at the Fermi energy = 4.80 states/eV/cell
Total magnetization = 1.778 μB/cell

Unit cell a=9.672 b=9.672 c=9.672 alpha=18.11 beta=18.11 gamma=18.11
Site moments in Bohr magnetons follow the coordinates.
Sites, in units of the cell vectors:
Ag: 0.511 0.511 0.511  -0.01
Ag: 0.989 0.989 0.989  -0.01
Co: 0.250 0.250 0.250  1.93
Tl: 0.750 0.750 0.750  -0.03

# 2
Below is LaTa4Zn after structural relaxation, with properties calculated at the PBE-GGA level.

Values from the calculation:
Formation enthalpy at 0 K = 0.490 eV/atom
Total DFT energy (no corrections) = -8.446 eV/atom
DOS at the Fermi energy = 9.43 states/eV/cell
Total magnetization = 0.000 μB/cell

Unit cell a=5.667 b=5.667 c=5.667 alpha=60.00 beta=60.00 gamma=60.00
Sites, in units of the cell vectors:
Ta: 0.374 0.879 0.374
Ta: 0.374 0.374 0.374
Zn: 0.750 0.750 0.750
Ta: 0.879 0.374 0.374
Ta: 0.374 0.374 0.879
La: 0.000 0.000 0.000

# 3
Below is HfGe2BiI after structural relaxation, with properties calculated at the PBE-GGA level.

Values from the calculation:
Total DFT energy (no corrections) = -3.519 eV/atom
DOS at the Fermi energy = 4.06 states/eV/cell
Total magnetization = 0.000 μB/cell

Unit cell a=5.316 b=5.756 c=5.316 alpha=90.00 beta=90.00 gamma=90.00
Sites, in units of the cell vectors:
Bi: 0.000 0.500 0.000
I: 0.000 0.000 0.000
Ge: 0.500 0.000 0.000
Ge: 0.000 0.000 0.500
Hf: 0.500 0.500 0.500

# 4
Below is Er2MgMo after structural relaxation, with properties calculated at the PBE-GGA level.

Values from the calculation:
Formation enthalpy at 0 K = 0.633 eV/atom
Total DFT energy (no corrections) = -4.755 eV/atom
DOS at the Fermi energy = 2.75 states/eV/cell
Total magnetization = 0.000 μB/cell

Unit cell a=3.124 b=3.124 c=11.531 alpha=82.21 beta=82.21 gamma=60.00
Sites, in units of the cell vectors:
Er: 0.918 0.918 0.245
Er: 0.082 0.082 0.755
Mg: 0.500 0.500 0.500
Mo: 0.000 0.000 0.000

# 5
Below is PuNb2Se6 after structural relaxation, with properties calculated at the PBE-GGA level.

Values from the calculation:
Total DFT energy (no corrections) = -6.923 eV/atom
DOS at the Fermi energy = 10.67 states/eV/cell
Total magnetization = 6.032 μB/cell

Unit cell a=5.036 b=7.042 c=7.679 alpha=75.37 beta=70.86 gamma=69.05
Site moments in Bohr magnetons follow the coordinates.
Sites, in units of the cell vectors:
Se: 0.635 0.256 0.474  -0.08
Nb: 0.196 0.741 0.867  0.55
Se: 0.966 0.870 0.199  -0.08
Se: 0.365 0.744 0.526  -0.08
Nb: 0.804 0.259 0.133  0.55
Pu: 0.000 0.500 0.500  5.15
Se: 0.739 0.628 0.895  -0.04
Se: 0.034 0.130 0.801  -0.08
Se: 0.261 0.372 0.105  -0.04

# 6
Below is KN2Cl after structural relaxation, with properties calculated at the PBE-GGA level.

Values from the calculation:
Total DFT energy (no corrections) = -2.805 eV/atom
DOS at the Fermi energy = 1.10 states/eV/cell
Total magnetization = 0.000 μB/cell

Unit cell a=7.482 b=7.482 c=7.482 alpha=24.51 beta=24.51 gamma=24.51
Sites, in units of the cell vectors:
Cl: 0.500 0.500 0.500
N: 0.885 0.885 0.885
K: 0.000 0.000 0.000
N: 0.115 0.115 0.115

# 7
Below is TlGa2Hg after structural relaxation, with properties calculated at the PBE-GGA level.

Values from the calculation:
Formation enthalpy at 0 K = 0.014 eV/atom
Total DFT energy (no corrections) = -2.166 eV/atom
DOS at the Fermi energy = 2.14 states/eV/cell
Total magnetization = 0.000 μB/cell

Unit cell a=4.197 b=4.196 c=10.997 alpha=91.71 beta=90.00 gamma=90.00
Sites, in units of the cell vectors:
Hg: 0.250 0.243 0.062
Ga: 0.250 0.239 0.334
Hg: 0.750 0.757 0.938
Tl: 0.250 0.266 0.766
Ga: 0.750 0.761 0.666
Ga: 0.750 0.249 0.500
Ga: 0.250 0.751 0.500
Tl: 0.750 0.734 0.234

# 8
Below is MnBeCr2 after structural relaxation, with properties calculated at the PBE-GGA level.

Values from the calculation:
Formation enthalpy at 0 K = -0.002 eV/atom
Total DFT energy (no corrections) = -8.037 eV/atom
DOS at the Fermi energy = 1.62 states/eV/cell
Total magnetization = 2.895 μB/cell

Unit cell a=3.961 b=3.961 c=3.961 alpha=60.00 beta=60.00 gamma=60.00
Site moments in Bohr magnetons follow the coordinates.
Sites, in units of the cell vectors:
Be: 0.500 0.500 0.500  -0.02
Cr: 0.250 0.250 0.250  1.95
Cr: 0.000 0.000 0.000  -1.07
Mn: 0.750 0.750 0.750  1.89